A relaxed structure of EuTmSn. Source: Alexandria, functional PBE-GGA.

- Total DFT energy (no corrections): -6.63 eV/atom
- Symmetry: F-43m, No. 216
- Energy relative to the elements: -1.1 eV/f.u.

Geometry as extended XYZ:
```
3
Lattice="5.253 0.000 0.000 2.627 4.550 0.000 2.627 1.517 4.289" Properties=species:S:1:pos:R:3 pbc="T T T"
Eu 5.253 3.033 2.145
Tm 0.000 0.000 0.000
Sn 2.627 1.517 1.072
```